(1)
A plane-wave DFT calculation with GGA-PBE was carried out for PrNdCdIr after structural relaxation.

Computed properties:
ΔE_f: -0.398 eV per atom
electronic total energy: -0.1922 hartree per atom

Unit cell a=5.2254 b=5.2254 c=5.2254 alpha=60.00 beta=60.00 gamma=60.00
Atoms (fractional coordinates):
Pr (0.0000, 0.0000, 0.0000)
Nd (0.5000, 0.5000, 0.5000)
Cd (0.2500, 0.2500, 0.2500)
Ir (0.7500, 0.7500, 0.7500)

(2)
A plane-wave DFT calculation with GGA-PBE was carried out for NdPuCdIr after structural relaxation.

Computed properties:
ΔE_f: -0.242 eV per atom
electronic total energy: -0.2742 hartree per atom

Unit cell a=5.1322 b=5.1322 c=5.1322 alpha=60.00 beta=60.00 gamma=60.00
Atoms (fractional coordinates):
Nd (0.0000, 0.0000, 0.0000)
Pu (0.5000, 0.5000, 0.5000)
Cd (0.7500, 0.7500, 0.7500)
Ir (0.2500, 0.2500, 0.2500)

(3)
A plane-wave DFT calculation with GGA-PBE was carried out for NdTmCdIr after structural relaxation.

Computed properties:
ΔE_f: -0.488 eV per atom
electronic total energy: -0.1926 hartree per atom

Unit cell a=5.0924 b=5.0924 c=5.0924 alpha=60.00 beta=60.00 gamma=60.00
Atoms (fractional coordinates):
Nd (0.0000, 0.0000, 0.0000)
Tm (0.5000, 0.5000, 0.5000)
Cd (0.7500, 0.7500, 0.7500)
Ir (0.2500, 0.2500, 0.2500)

(4)
A plane-wave DFT calculation with GGA-PBE was carried out for NdYCdIr after structural relaxation.

Computed properties:
ΔE_f: -0.474 eV per atom
electronic total energy: -0.2104 hartree per atom

Unit cell a=5.1305 b=5.1305 c=5.1305 alpha=60.00 beta=60.00 gamma=60.00
Atoms (fractional coordinates):
Nd (0.0000, 0.0000, 0.0000)
Y (0.5000, 0.5000, 0.5000)
Cd (0.2500, 0.2500, 0.2500)
Ir (0.7500, 0.7500, 0.7500)

(5)
A plane-wave DFT calculation with GGA-PBE was carried out for CdNiIr4 after structural relaxation.

Computed properties:
ΔE_f: 0.499 eV per atom
electronic total energy: -0.2398 hartree per atom

Unit cell a=5.1956 b=5.1956 c=5.1956 alpha=60.00 beta=60.00 gamma=60.00
Atoms (fractional coordinates):
Cd (0.0000, 0.0000, 0.0000)
Ni (0.2500, 0.2500, 0.2500)
Ir (0.1259, 0.6247, 0.6247)
Ir (0.6247, 0.1259, 0.6247)
Ir (0.6247, 0.6247, 0.1259)
Ir (0.6247, 0.6247, 0.6247)

(6)
A plane-wave DFT calculation with GGA-PBE was carried out for CdNi3Ir after structural relaxation.

Computed properties:
ΔE_f: 1.015 eV per atom
electronic total energy: -0.1620 hartree per atom

Unit cell a=4.5657 b=4.5657 c=4.5657 alpha=90.00 beta=90.00 gamma=90.00
Atoms (fractional coordinates):
Cd (0.0000, 0.0000, 0.0000)
Ni (0.0000, 0.5000, 0.5000)
Ni (0.5000, 0.0000, 0.5000)
Ni (0.5000, 0.5000, 0.0000)
Ir (0.5000, 0.5000, 0.5000)

(7)
A plane-wave DFT calculation with GGA-PBE was carried out for CdNi2Ir after structural relaxation.

Computed properties:
ΔE_f: 0.142 eV per atom
electronic total energy: -0.1908 hartree per atom

Unit cell a=2.8053 b=2.8053 c=7.1386 alpha=90.00 beta=90.00 gamma=90.00
Atoms (fractional coordinates):
Cd (0.0000, 0.0000, 0.0000)
Ni (0.0000, 0.0000, 0.5263)
Ni (0.5000, 0.5000, 0.7287)
Ir (0.5000, 0.5000, 0.3040)

(8)
A plane-wave DFT calculation with GGA-PBE was carried out for Cd2NiIr after structural relaxation.

Computed properties:
ΔE_f: 0.255 eV per atom
electronic total energy: -0.1420 hartree per atom

Unit cell a=2.8265 b=2.8265 c=9.0433 alpha=90.00 beta=90.00 gamma=115.11
Atoms (fractional coordinates):
Cd (0.0000, 0.0000, 0.2390)
Cd (0.0000, 0.0000, 0.7610)
Ni (0.5000, 0.5000, 0.0000)
Ir (0.5000, 0.5000, 0.5000)

(9)
A plane-wave DFT calculation with GGA-PBE was carried out for Cd2NiIr after structural relaxation.

Computed properties:
ΔE_f: 0.222 eV per atom
electronic total energy: -0.1432 hartree per atom

Unit cell a=9.0813 b=9.0813 c=9.0813 alpha=18.40 beta=18.40 gamma=18.40
Atoms (fractional coordinates):
Cd (0.2464, 0.2464, 0.2464)
Cd (0.7536, 0.7536, 0.7536)
Ni (0.5000, 0.5000, 0.5000)
Ir (0.0000, 0.0000, 0.0000)

(10)
A plane-wave DFT calculation with GGA-PBE was carried out for CdNiIr after structural relaxation.

Computed properties:
ΔE_f: 0.277 eV per atom
electronic total energy: -0.1804 hartree per atom

Unit cell a=7.1980 b=6.9474 c=2.7577 alpha=83.92 beta=73.69 gamma=22.39
Atoms (fractional coordinates):
Cd (0.0000, 0.0000, 0.0000)
Ni (0.6668, 0.6668, 0.3332)
Ir (0.3172, 0.3172, 0.6828)

(11)
A plane-wave DFT calculation with GGA-PBE was carried out for CdNi2Ir after structural relaxation.

Computed properties:
ΔE_f: 0.158 eV per atom
electronic total energy: -0.1902 hartree per atom

Unit cell a=8.7730 b=8.7730 c=8.7730 alpha=18.03 beta=18.03 gamma=18.03
Atoms (fractional coordinates):
Cd (0.0000, 0.0000, 0.0000)
Ni (0.2451, 0.2451, 0.2451)
Ni (0.7549, 0.7549, 0.7549)
Ir (0.5000, 0.5000, 0.5000)

(12)
A plane-wave DFT calculation with GGA-PBE was carried out for CdNi2Ir after structural relaxation.

Computed properties:
ΔE_f: 0.313 eV per atom
electronic total energy: -0.1845 hartree per atom

Unit cell a=4.3240 b=4.3240 c=4.3240 alpha=60.00 beta=60.00 gamma=60.00
Atoms (fractional coordinates):
Cd (0.0000, 0.0000, 0.0000)
Ni (0.2500, 0.2500, 0.2500)
Ni (0.5000, 0.5000, 0.5000)
Ir (0.7500, 0.7500, 0.7500)

(13)
A plane-wave DFT calculation with GGA-PBE was carried out for CdNi2Ir after structural relaxation.

Computed properties:
ΔE_f: 0.127 eV per atom
electronic total energy: -0.1914 hartree per atom

Unit cell a=4.7254 b=4.7254 c=4.6068 alpha=102.63 beta=102.63 gamma=33.82
Atoms (fractional coordinates):
Cd (0.0000, 0.0000, 0.0000)
Ni (0.4916, 0.4916, 0.4946)
Ni (0.7558, 0.7558, 0.2204)
Ir (0.2338, 0.2338, 0.6770)